Entry 1:
This record from Alexandria via LeMat-Bulk describes a relaxed Rb12NaAu7 crystal. The functional is PBE.

Geometry as extended XYZ:
```
20
Lattice="6.938 0.000 -1.428 -3.581 10.894 -5.685 0.223 0.000 12.797" Properties=species:S:1:pos:R:3 pbc="T T T"
Rb -0.220 5.763 -1.506
Rb 5.915 1.566 5.755
Rb 1.591 8.625 -4.449
Rb 2.844 0.816 2.571
Rb 0.766 4.197 4.162
Rb -1.306 7.809 5.834
Rb 4.886 3.086 -0.149
Rb 2.814 6.697 1.523
Rb 0.736 10.078 3.114
Rb 1.990 2.269 10.134
Rb -2.335 9.329 -0.070
Rb 3.800 5.132 7.191
Na 0.000 0.000 0.000
Au -1.886 8.339 -3.513
Au 6.435 0.861 2.195
Au 2.186 7.479 4.973
Au 3.469 0.000 -0.714
Au 1.394 3.416 0.712
Au -2.855 10.034 3.490
Au 5.466 2.555 9.198
```

Computed properties:
* E_tot: -1.972 eV per atom
* calculated formation energy: -178 meV/atom
* N(E_F): 8.25 states/eV per cell

Entry 2:
This record from Alexandria via LeMat-Bulk describes a relaxed ScAuSe2 crystal. The functional is PBE.

Geometry as extended XYZ:
```
4
Lattice="3.757 -2.169 0.000 0.000 4.339 0.000 0.000 0.000 6.800" Properties=species:S:1:pos:R:3 pbc="T T T"
Sc 1.252 2.169 3.238
Au 0.000 0.000 5.308
Se 1.252 2.169 5.809
Se 2.505 0.000 2.338
```

Computed properties:
* E_tot: -5.027 eV per atom
* N(E_F): 0.63 states/eV per cell
* uncorrected formation energy: -882.6 meV per atom